# Cd2HgPb

Crystalline Cd2HgPb at its relaxed geometry (PBE-GGA, Alexandria).

Summary:
The space group is P4/mmm (123). The calculation puts the polymorph energy (0 for the lowest one) at 23 meV per atom. Its energy of formation is 0.06 eV/atom.

POSCAR file:
```
Cd2HgPb
1.0
5.385 0.000 0.000
0.000 5.385 0.000
0.000 0.000 3.623
Cd Hg Pb
2 1 1
direct
0.000 0.500 0.000
0.500 0.000 0.000
0.000 0.000 0.500
0.500 0.500 0.500
```

---

# HoFe2Cl6

Crystalline HoFe2Cl6 at its relaxed geometry (PBE-GGA, Alexandria).

Summary:
The space group is C2/c (15). The calculation puts the formation energy from raw total energies at -1.170 eV/atom.

POSCAR file:
```
HoFe2Cl6
1.0
6.316 -5.758 0.000
6.316 5.758 0.000
-1.287 0.000 6.748
Ho Fe Cl
2 4 12
direct
0.110 0.890 0.750
0.890 0.110 0.250
0.241 0.389 0.691
0.389 0.241 0.191
0.611 0.759 0.809
0.759 0.611 0.309
0.044 0.186 0.615
0.122 0.618 0.862
0.186 0.044 0.115
0.284 0.448 0.390
0.382 0.878 0.638
0.448 0.284 0.890
0.552 0.716 0.110
0.618 0.122 0.362
0.716 0.552 0.610
0.814 0.956 0.885
0.878 0.382 0.138
0.956 0.814 0.385
```

---

# LiCeErCd

Crystalline LiCeErCd at its relaxed geometry (PBE-GGA, Alexandria).

Summary:
The space group is F-43m (216). Its energy of formation is 0.00 eV/atom.

POSCAR file:
```
LiCeErCd
1.0
0.000 3.745 3.745
3.745 0.000 3.745
3.745 3.745 0.000
Li Ce Er Cd
1 1 1 1
direct
0.000 0.000 0.000
0.250 0.250 0.250
0.750 0.750 0.750
0.500 0.500 0.500
```

---

# AcTh4Pd15

Crystalline AcTh4Pd15 at its relaxed geometry (PBE-GGA, Alexandria).

Summary:
The space group is P4/mmm (123). Its energy of formation is -0.90 eV/atom.

POSCAR file:
```
AcTh4Pd15
1.0
4.229 0.000 0.000
0.000 4.229 0.000
0.000 0.000 21.292
Ac Th Pd
1 4 15
direct
0.000 0.000 0.000
0.000 0.000 0.201
0.000 0.000 0.401
0.000 0.000 0.599
0.000 0.000 0.799
0.000 0.500 0.106
0.000 0.500 0.303
0.000 0.500 0.500
0.000 0.500 0.697
0.000 0.500 0.894
0.500 0.000 0.106
0.500 0.000 0.303
0.500 0.000 0.500
0.500 0.000 0.697
0.500 0.000 0.894
0.500 0.500 0.000
0.500 0.500 0.205
0.500 0.500 0.401
0.500 0.500 0.599
0.500 0.500 0.795
```

---

# HfNb3Ge

Crystalline HfNb3Ge at its relaxed geometry (PBE-GGA, Alexandria).

Summary:
The space group is Pm-3m (221). The calculation puts the polymorph energy (0 for the lowest one) at 1697 meV per atom. Its energy of formation is 1.63 eV/atom.

POSCAR file:
```
HfNb3Ge
1.0
4.909 0.000 0.000
0.000 4.909 0.000
0.000 0.000 4.909
Hf Nb Ge
1 3 1
direct
0.000 0.000 0.000
0.000 0.000 0.500
0.000 0.500 0.000
0.500 0.000 0.000
0.500 0.500 0.500
```

---

# Na2In12Hg5

Crystalline Na2In12Hg5 at its relaxed geometry (PBE-GGA, Alexandria).

Summary:
The space group is C2/m (12). The calculation puts the polymorph energy (0 for the lowest one) at 47 meV per atom. Its energy of formation is 0.03 eV/atom.

POSCAR file:
```
Na2In12Hg5
1.0
9.334 -3.363 0.000
9.334 3.363 0.000
-2.192 0.000 8.786
Na In Hg
2 12 5
direct
0.247 0.753 0.000
0.753 0.247 0.000
0.027 0.027 0.351
0.066 0.525 0.880
0.113 0.593 0.381
0.399 0.399 0.708
0.407 0.887 0.619
0.475 0.934 0.120
0.525 0.066 0.880
0.593 0.113 0.381
0.601 0.601 0.292
0.887 0.407 0.619
0.934 0.475 0.120
0.973 0.973 0.649
0.120 0.120 0.879
0.202 0.202 0.392
0.500 0.500 0.500
0.798 0.798 0.608
0.880 0.880 0.121
```

---

Number 1: DFT total energy -1.3967 eV per atom. Number 2: DFT total energy -4.7904 eV per atom. Number 3: DFT total energy -3.3356 eV per atom. Number 4: DFT total energy -6.4836 eV per atom. Number 5: DFT total energy -7.3297 eV per atom. Number 6: DFT total energy -1.9177 eV per atom.